Entry 1:
This record from the Alexandria database describes a relaxed Nb2Ni3Ru3 crystal. The functional is PBE. Values from VASP.

```
&SYSTEM
  ibrav = 0, nat = 8, ntyp = 3
/
ATOMIC_SPECIES
Nb 92.91 Nb.upf
Ni 58.69 Ni.upf
Ru 101.07 Ru.upf
ATOMIC_POSITIONS angstrom
Nb 0.000 0.000 5.621
Nb 0.000 0.000 1.845
Ni 1.928 1.910 5.627
Ni 1.928 1.910 1.839
Ni 1.928 0.000 0.000
Ru 1.928 0.000 3.733
Ru 0.000 1.910 0.000
Ru 0.000 1.910 3.733
CELL_PARAMETERS angstrom
3.857 0.000 0.000
0.000 3.820 0.000
0.000 0.000 7.466
```

Summary:
SG = Pmmm
Fermi-level density of states = 7.6 states/eV/cell
volume = 13.8 Å³/atom
DFT total energy = -8.385 eV/atom

Entry 2:
This record from the Alexandria database describes a relaxed NbNiRu crystal. The functional is PBE. Values from VASP.

```
&SYSTEM
  ibrav = 0, nat = 12, ntyp = 3
/
ATOMIC_SPECIES
Nb 92.91 Nb.upf
Ni 58.69 Ni.upf
Ru 101.07 Ru.upf
ATOMIC_POSITIONS angstrom
Nb 3.103 4.167 2.241
Nb 5.035 7.802 6.919
Nb 5.257 6.008 4.602
Nb 0.253 3.716 1.678
Ni 4.202 3.591 4.606
Ni -0.801 1.299 1.682
Ni 1.874 1.601 2.054
Ni 3.806 5.236 6.733
Ru 0.747 2.155 -0.341
Ru 2.680 5.789 4.338
Ru 6.517 5.569 7.143
Ru 1.514 3.277 4.220
CELL_PARAMETERS angstrom
-0.016 3.018 -2.338
-3.071 1.343 1.755
6.936 5.927 7.602
```

Summary:
SG = Amm2
Fermi-level density of states = 8.6 states/eV/cell
energy above the lowest structure with this stoichiometry = 0.000 eV/atom
volume = 14.3 Å³/atom

Entry 3:
This record from the Alexandria database describes a relaxed Nb2NiRu crystal. The functional is PBE. Values from VASP.

```
&SYSTEM
  ibrav = 0, nat = 4, ntyp = 3
/
ATOMIC_SPECIES
Ru 101.07 Ru.upf
Nb 92.91 Nb.upf
Ni 58.69 Ni.upf
ATOMIC_POSITIONS angstrom
Ru -2.425 0.530 -2.348
Nb -1.944 -0.533 0.148
Nb 0.031 -0.642 -1.916
Ni -0.512 1.706 -0.580
CELL_PARAMETERS angstrom
-1.024 3.411 -1.160
0.061 -1.284 -3.832
-3.888 -1.067 0.295
```

Summary:
SG = P4/mmm
Fermi-level density of states = 4.1 states/eV/cell
volume = 15.3 Å³/atom
DFT total energy = -8.974 eV/atom

Entry 4:
This record from the Alexandria database describes a relaxed NbNiRu3 crystal. The functional is PBE. Values from VASP.

```
&SYSTEM
  ibrav = 0, nat = 5, ntyp = 3
/
ATOMIC_SPECIES
Ru 101.07 Ru.upf
Nb 92.91 Nb.upf
Ni 58.69 Ni.upf
ATOMIC_POSITIONS angstrom
Ru -1.815 -0.380 1.169
Ru 1.101 0.427 1.847
Ru -0.548 2.117 -0.162
Nb -1.262 2.163 2.854
Ni 0.000 0.000 0.000
CELL_PARAMETERS angstrom
-1.095 4.233 -0.325
-3.630 -0.760 2.339
2.202 0.853 3.694
```

Summary:
SG = Pm-3m
Fermi-level density of states = 9.3 states/eV/cell
energy above the lowest structure with this stoichiometry = 0.000 eV/atom
volume = 16.9 Å³/atom

Entry 5:
This record from the Alexandria database describes a relaxed NbNi2Ru crystal. The functional is PBE. Values from VASP.

```
&SYSTEM
  ibrav = 0, nat = 4, ntyp = 3
/
ATOMIC_SPECIES
Ru 101.07 Ru.upf
Nb 92.91 Nb.upf
Ni 58.69 Ni.upf
ATOMIC_POSITIONS angstrom
Ru -1.009 1.383 -0.870
Nb -1.935 2.177 1.465
Ni 0.558 1.220 1.293
Ni -1.484 -0.426 1.043
CELL_PARAMETERS angstrom
-2.018 2.767 -1.741
-2.968 -0.853 2.086
1.116 2.441 2.585
```

Summary:
SG = P4/mmm
Fermi-level density of states = 5.0 states/eV/cell
volume = 13.3 Å³/atom
DFT total energy = -7.974 eV/atom

Entry 6:
This record from the Alexandria database describes a relaxed NbNi4Ru crystal. The functional is PBE. Values from VASP.

```
&SYSTEM
  ibrav = 0, nat = 6, ntyp = 3
/
ATOMIC_SPECIES
Ru 101.07 Ru.upf
Nb 92.91 Nb.upf
Ni 58.69 Ni.upf
ATOMIC_POSITIONS angstrom
Ru 2.359 1.362 0.963
Nb 0.000 0.000 0.000
Ni 4.718 2.724 0.489
Ni 4.718 1.369 2.405
Ni 5.891 3.401 2.405
Ni 3.545 3.401 2.405
CELL_PARAMETERS angstrom
4.718 0.000 0.000
2.359 4.086 0.000
2.359 1.362 3.852
```

Summary:
SG = F-43m
Fermi-level density of states = 8.3 states/eV/cell
volume = 12.4 Å³/atom
DFT total energy = -7.232 eV/atom

Entry 7:
This record from the Alexandria database describes a relaxed Nb2SiNiRu crystal. The functional is PBE. Values from VASP.

```
&SYSTEM
  ibrav = 0, nat = 5, ntyp = 4
/
ATOMIC_SPECIES
Ru 101.07 Ru.upf
Nb 92.91 Nb.upf
Si 28.09 Si.upf
Ni 58.69 Ni.upf
ATOMIC_POSITIONS angstrom
Ru 0.000 0.000 0.000
Nb -0.956 2.066 0.642
Nb -0.980 -1.039 1.885
Si -0.100 1.499 3.741
Ni 1.835 0.472 1.214
CELL_PARAMETERS angstrom
-1.960 -2.078 3.770
3.671 0.945 2.428
-1.912 4.132 1.283
```

Summary:
SG = P4/mmm
formation energy from raw total energies = 5.6 eV per formula unit
Fermi-level density of states = 5.0 states/eV/cell
volume = 20.1 Å³/atom

Entry 8:
This record from the Alexandria database describes a relaxed NbNi2TeRu crystal. The functional is PBE. Values from VASP.

```
&SYSTEM
  ibrav = 0, nat = 5, ntyp = 4
/
ATOMIC_SPECIES
Ru 101.07 Ru.upf
Nb 92.91 Nb.upf
Te 127.60 Te.upf
Ni 58.69 Ni.upf
ATOMIC_POSITIONS angstrom
Ru 0.000 0.000 0.000
Nb 0.000 2.359 0.000
Te 2.292 2.359 2.292
Ni 0.000 0.000 2.292
Ni 2.292 0.000 0.000
CELL_PARAMETERS angstrom
4.583 0.000 0.000
0.000 4.718 0.000
0.000 0.000 4.583
```

Summary:
SG = P4/mmm
formation energy from raw total energies = 4.8 eV per formula unit
Fermi-level density of states = 6.8 states/eV/cell
volume = 19.8 Å³/atom